No. 1
Below is a geometry-optimized TeP2SeS structure, with properties calculated at the PBEsol level.

Cell lengths 4.7827, 4.7827, 4.6002 Å; angles 90.00, 90.00, 90.00 degrees
Last column: nearest neighbours and their distance in Å.
Element x y z (fractional)
Te 0.0000 0.0000 0.0000  8 P 3.32, 4 S 3.38
P 0.0000 0.5000 0.5000  2 Se 2.39
P 0.5000 0.0000 0.5000  2 Se 2.39
Se 0.5000 0.5000 0.5000  2 S 2.30, 4 P 2.39
S 0.5000 0.5000 0.0000  2 Se 2.30

Summary:
Density in g/cm3: 4.7
Calculated volume in Å³ per cell: 105.2
Formation energy (no corrections) in meV/atom: 847



No. 2
Below is a geometry-optimized K2NiOs structure, with properties calculated at the PBEsol level.

Cell lengths 2.7050, 4.1111, 19.5846 Å; angles 90.00, 90.00, 90.00 degrees
Last column: nearest neighbours and their distance in Å.
Element x y z (fractional)
K 0.0000 0.0000 0.1387  2 K 2.71
K 0.0000 0.0000 0.8613  2 K 2.71
K 0.5000 0.5000 0.3613  2 K 2.71
K 0.5000 0.5000 0.6387  2 K 2.71
Ni 0.0000 0.5000 0.5000  4 Os 2.46, 2 Ni 2.71
Ni 0.5000 0.0000 0.0000  4 Os 2.46, 2 Ni 2.71
Os 0.0000 0.5000 0.0000  4 Ni 2.46, 2 Os 2.71
Os 0.5000 0.0000 0.5000  4 Ni 2.46, 2 Os 2.71

Summary:
Density in g/cm3: 5.0
Calculated volume in Å³ per cell: 217.8



No. 3
Below is a geometry-optimized NaGe2AsI structure, with properties calculated at the PBEsol level.

Cell lengths 5.2933, 5.2933, 4.8101 Å; angles 90.00, 90.00, 90.00 degrees
Last column: nearest neighbours and their distance in Å.
Element x y z (fractional)
Na 0.0000 0.0000 0.0000  2 As 2.41, 4 Ge 2.65
Ge 0.0000 0.5000 0.0000  2 Na 2.65
Ge 0.5000 0.0000 0.0000  2 Na 2.65
As 0.0000 0.0000 0.5000  2 Na 2.41
I 0.5000 0.5000 0.5000  8 Ge 3.58, 4 As 3.74

Summary:
Density in g/cm3: 4.6
Calculated volume in Å³ per cell: 134.8
Formation energy (no corrections) in meV/atom: 978



No. 4
Below is a geometry-optimized Sn2RuPbSe structure, with properties calculated at the PBEsol level.

Cell lengths 5.6108, 5.6108, 5.2534 Å; angles 90.00, 90.00, 90.00 degrees
Last column: nearest neighbours and their distance in Å.
Element x y z (fractional)
Sn 0.0000 0.5000 0.0000  2 Pb 2.81
Sn 0.5000 0.0000 0.0000  2 Pb 2.81
Ru 0.0000 0.0000 0.5000  8 Sn 3.84, 4 Se 3.97
Pb 0.5000 0.5000 0.0000  2 Se 2.63, 4 Sn 2.81
Se 0.5000 0.5000 0.5000  2 Pb 2.63

Summary:
Density in g/cm3: 6.3
Calculated volume in Å³ per cell: 165.4
Formation energy (no corrections) in meV/atom: 1637



no.,final energy (eV per atom)
1,-3.82
2,-4.34
3,-2.65
4,-3.67